The following is a PBE calculation of an optimized crystal structure of LaPr2Mg3Pt3, from the Open Quantum Materials Database.

POSCAR file:
```
LaPr2Mg3Pt3
1.0
4.163 0.000 0.000
0.000 6.538 3.818
0.000 -6.538 3.818
Pt La Mg Pr
3 1 3 2
Direct
0.500 0.667 0.337 Pt
0.500 0.337 0.667 Pt
0.000 0.001 0.001 Pt
0.000 0.584 0.584 La
0.500 0.001 0.761 Mg
0.500 0.761 0.001 Mg
0.500 0.236 0.236 Mg
0.000 0.412 0.000 Pr
0.000 0.000 0.412 Pr
```

Properties
DFT total energy	-5.04	eV per atom